{"formula": "Li8TiMn3O12", "functional": "PBE+U", "state": "relaxed", "spacegroup": "P2, No. 3", "dft_energy_ev_per_atom": -6.317, "lattice_angstrom": [[-2.3167, 2.5987, 3.5227], [3.1192, -1.8541, 3.4054], [5.2759, 6.4751, -1.3071]], "species": ["O", "O", "O", "O", "O", "O", "O", "O", "O", "O", "O", "O", "Li", "Li", "Li", "Li", "Li", "Li", "Li", "Li", "Mn", "Mn", "Mn", "Ti"], "fractional_positions": [[0.6712, 0.2184, 0.0790], [0.8250, 0.7143, 0.5819], [0.3261, 0.7152, 0.4325], [0.6739, 0.2848, 0.4325], [0.1750, 0.2857, 0.5819], [0.1384, 0.2547, 0.2587], [0.1792, 0.2168, 0.9302], [0.8616, 0.7453, 0.2587], [0.8208, 0.7832, 0.9302], [0.3288, 0.7816, 0.0790], [0.3491, 0.7514, 0.7549], [0.6509, 0.2486, 0.7549], [0.0000, 0.5000, 0.0771], [0.5000, 0.0000, 0.5828], [0.0000, 0.5000, 0.7691], [0.0000, 0.0000, 0.7471], [0.0000, 0.0000, 0.4372], [0.5000, 0.5000, 0.9303], [0.5000, 0.5000, 0.2430], [0.5000, 0.0000, 0.2715], [0.5000, 0.0000, 0.9147], [0.5000, 0.5000, 0.5967], [0.0000, 0.5000, 0.4202], [0.0000, 0.0000, 0.0997]]}